Entry 1:
VASP calculation (PBE) on crystalline Tl2Cu2Hg at its relaxed geometry.

a b c (Å): 5.530 5.530 7.696
angles (deg): 90.00 90.00 90.00
Element x y z (fractional)
1 Tl 0.000 0.500 0.250
2 Tl 0.000 0.500 0.750
3 Tl 0.500 0.000 0.250
4 Tl 0.500 0.000 0.750
5 Cu 0.000 0.000 0.155
6 Cu 0.000 0.000 0.845
7 Cu 0.500 0.500 0.345
8 Cu 0.500 0.500 0.655
9 Hg 0.000 0.000 0.500
10 Hg 0.500 0.500 0.000

Output
E above lowest polymorph   0.090 eV per atom
Formation energy   0.288 eV/atom
DFT total energy   -2.358 eV/atom
Crystal system   tetragonal

=====

Entry 2:
VASP calculation (PBE) on crystalline Tb4SmDy2Ho2 at its relaxed geometry.

a b c (Å): 8.771 8.771 9.614
angles (deg): 101.15 101.15 23.44
Element x y z (fractional)
1 Tb 0.016 0.016 0.327
2 Tb 0.322 0.322 0.758
3 Tb 0.678 0.678 0.242
4 Tb 0.984 0.984 0.673
5 Sm 0.500 0.500 0.000
6 Dy 0.348 0.348 0.409
7 Dy 0.652 0.652 0.591
8 Ho 0.164 0.164 0.921
9 Ho 0.836 0.836 0.079

Output
Formation energy   0.026 eV/atom
DFT total energy   -4.596 eV/atom
Crystal system   monoclinic

=====

Entry 3:
VASP calculation (PBE) on crystalline ZnCdO2 at its relaxed geometry.

a b c (Å): 4.819 4.854 4.980
angles (deg): 90.00 90.00 90.00
Element x y z (fractional)
1 Zn 0.000 0.000 0.000
2 Zn 0.500 0.500 0.000
3 Cd 0.000 0.500 0.500
4 Cd 0.500 0.000 0.500
5 O 0.250 0.250 0.784
6 O 0.250 0.750 0.216
7 O 0.750 0.250 0.216
8 O 0.750 0.750 0.784

Output
DFT total energy   -4.217 eV/atom
Crystal system   orthorhombic
Raw formation energy   -1.191 eV per atom

=====

Entry 4:
VASP calculation (PBE) on crystalline RbBaSmCl6 at its relaxed geometry.

a b c (Å): 7.769 7.769 13.426
angles (deg): 90.00 90.00 120.00
Element x y z (fractional)
1 Rb 0.000 0.000 0.000
2 Rb 0.000 0.000 0.500
3 Ba 0.333 0.667 0.250
4 Ba 0.667 0.333 0.750
5 Sm 0.333 0.667 0.750
6 Sm 0.667 0.333 0.250
7 Cl 0.036 0.384 0.636
8 Cl 0.036 0.652 0.864
9 Cl 0.348 0.384 0.864
10 Cl 0.348 0.964 0.636
11 Cl 0.384 0.036 0.136
12 Cl 0.384 0.348 0.364
13 Cl 0.616 0.652 0.636
14 Cl 0.616 0.964 0.864
15 Cl 0.652 0.036 0.364
16 Cl 0.652 0.616 0.136
17 Cl 0.964 0.348 0.136
18 Cl 0.964 0.616 0.364

Output
DFT total energy   -4.379 eV/atom
Crystal system   trigonal
Raw formation energy   -2.303 eV per atom

=====

Entry 5:
VASP calculation (PBE) on crystalline AcSnPb at its relaxed geometry.

a b c (Å): 7.811 7.811 7.811
angles (deg): 90.00 90.00 90.00
Element x y z (fractional)
1 Ac 0.000 0.000 0.000
2 Ac 0.000 0.500 0.500
3 Ac 0.500 0.000 0.500
4 Ac 0.500 0.500 0.000
5 Sn 0.250 0.250 0.250
6 Sn 0.250 0.750 0.750
7 Sn 0.750 0.250 0.750
8 Sn 0.750 0.750 0.250
9 Pb 0.250 0.250 0.750
10 Pb 0.250 0.750 0.250
11 Pb 0.750 0.250 0.250
12 Pb 0.750 0.750 0.750

Output
E above lowest polymorph   0.330 eV per atom
Formation energy   -0.099 eV/atom
DFT total energy   -4.039 eV/atom
Crystal system   cubic

=====

Entry 6:
VASP calculation (PBE) on crystalline PmZrSb at its relaxed geometry.

a b c (Å): 4.987 4.987 3.858
angles (deg): 90.00 90.00 120.00
Element x y z (fractional)
1 Pm 0.000 0.000 0.000
2 Zr 0.333 0.667 0.500
3 Sb 0.667 0.333 0.497

Output
E above lowest polymorph   0.542 eV per atom
DFT total energy   -6.093 eV/atom
Crystal system   trigonal
Raw formation energy   -0.286 eV per atom

=====

Entry 7:
VASP calculation (PBE) on crystalline TlAgMo2 at its relaxed geometry.

a b c (Å): 3.305 3.305 6.879
angles (deg): 90.00 90.00 90.00
Element x y z (fractional)
1 Tl 0.000 0.000 0.000
2 Ag 0.500 0.500 0.271
3 Mo 0.000 0.000 0.536
4 Mo 0.500 0.500 0.706

Output
E above lowest polymorph   0.020 eV per atom
Formation energy   0.462 eV/atom
DFT total energy   -6.258 eV/atom
Crystal system   tetragonal

=====

Entry 8:
VASP calculation (PBE) on crystalline TbAlH2O4 at its relaxed geometry.

a b c (Å): 4.470 5.486 6.011
angles (deg): 90.00 90.00 90.00
Element x y z (fractional)
1 Tb 0.000 0.000 0.000
2 Tb 0.500 0.500 0.500
3 Al 0.000 0.000 0.500
4 Al 0.500 0.500 0.000
5 H 0.000 0.500 0.178
6 H 0.000 0.500 0.822
7 H 0.500 0.000 0.322
8 H 0.500 0.000 0.678
9 O 0.225 0.367 0.817
10 O 0.225 0.633 0.183
11 O 0.275 0.133 0.317
12 O 0.275 0.867 0.683
13 O 0.725 0.133 0.683
14 O 0.725 0.867 0.317
15 O 0.775 0.367 0.183
16 O 0.775 0.633 0.817

Output
DFT total energy   -6.639 eV/atom
Crystal system   orthorhombic